MnAl2Ir | PBE | relaxed Values from VASP.

```
&SYSTEM
  ibrav = 0, nat = 16, ntyp = 3
/
ATOMIC_SPECIES
Mn 54.94 Mn.upf
Al 26.98 Al.upf
Ir 192.22 Ir.upf
ATOMIC_POSITIONS crystal
Mn 0.000 0.000 0.000
Mn 0.000 0.500 0.500
Mn 0.500 0.000 0.500
Mn 0.500 0.500 0.000
Al 0.000 0.000 0.500
Al 0.000 0.500 0.000
Al 0.250 0.250 0.750
Al 0.250 0.750 0.250
Al 0.500 0.000 0.000
Al 0.500 0.500 0.500
Al 0.750 0.250 0.250
Al 0.750 0.750 0.750
Ir 0.250 0.250 0.250
Ir 0.250 0.750 0.750
Ir 0.750 0.250 0.750
Ir 0.750 0.750 0.250
CELL_PARAMETERS angstrom
6.104 0.000 0.000
0.000 6.104 0.000
0.000 0.000 6.104
```

DFT formation energy, eV/atom: -0.3675
ρ, g cm⁻³: 8.79
D(E_F), states/eV per atom: 0.4794
Raw total energy, eV/f.u.: -26.99



MnAl4Ir5 | PBE | relaxed Values from VASP.

```
&SYSTEM
  ibrav = 0, nat = 10, ntyp = 3
/
ATOMIC_SPECIES
Mn 54.94 Mn.upf
Al 26.98 Al.upf
Ir 192.22 Ir.upf
ATOMIC_POSITIONS crystal
Mn 0.000 0.000 0.000
Al 0.000 0.000 0.199
Al 0.000 0.000 0.400
Al 0.000 0.000 0.600
Al 0.000 0.000 0.801
Ir 0.500 0.500 0.105
Ir 0.500 0.500 0.302
Ir 0.500 0.500 0.500
Ir 0.500 0.500 0.698
Ir 0.500 0.500 0.895
CELL_PARAMETERS angstrom
3.021 0.000 0.000
0.000 3.021 0.000
0.000 0.000 15.201
```

DFT formation energy, eV/atom: -0.7952
ρ, g cm⁻³: 13.45
D(E_F), states/eV per atom: 0.2819
Raw total energy, eV/f.u.: -76.40



MnAlIr2 | PBE | relaxed Values from VASP.

```
&SYSTEM
  ibrav = 0, nat = 8, ntyp = 3
/
ATOMIC_SPECIES
Mn 54.94 Mn.upf
Al 26.98 Al.upf
Ir 192.22 Ir.upf
ATOMIC_POSITIONS crystal
Mn 0.000 0.000 0.000
Mn 0.500 0.500 0.500
Al 0.000 0.000 0.500
Al 0.500 0.500 0.000
Ir 0.000 0.500 0.238
Ir 0.000 0.500 0.762
Ir 0.500 0.000 0.262
Ir 0.500 0.000 0.738
CELL_PARAMETERS angstrom
2.900 0.000 0.000
0.000 4.647 0.000
0.000 0.000 8.529
```

DFT formation energy, eV/atom: -0.2859
ρ, g cm⁻³: 13.48
D(E_F), states/eV per atom: 0.6388
Raw total energy, eV/f.u.: -31.78



MnAl2Ir | PBE | relaxed Values from VASP.

```
&SYSTEM
  ibrav = 0, nat = 4, ntyp = 3
/
ATOMIC_SPECIES
Mn 54.94 Mn.upf
Al 26.98 Al.upf
Ir 192.22 Ir.upf
ATOMIC_POSITIONS crystal
Mn 0.000 0.000 0.000
Al 0.000 0.000 0.505
Al 0.500 0.500 0.222
Ir 0.500 0.500 0.721
CELL_PARAMETERS angstrom
2.849 0.000 0.000
0.000 3.681 0.000
0.000 0.000 5.344
```

DFT formation energy, eV/atom: -0.4158
ρ, g cm⁻³: 8.92
D(E_F), states/eV per atom: 0.5947
Raw total energy, eV/f.u.: -27.18



MnAlIr | PBE | relaxed Values from VASP.

```
&SYSTEM
  ibrav = 0, nat = 12, ntyp = 3
/
ATOMIC_SPECIES
Mn 54.94 Mn.upf
Al 26.98 Al.upf
Ir 192.22 Ir.upf
ATOMIC_POSITIONS crystal
Mn 0.000 0.248 0.250
Mn 0.000 0.752 0.750
Mn 0.500 0.252 0.750
Mn 0.500 0.748 0.250
Al 0.000 0.414 0.750
Al 0.000 0.586 0.250
Al 0.500 0.086 0.250
Al 0.500 0.914 0.750
Ir 0.000 0.085 0.750
Ir 0.000 0.915 0.250
Ir 0.500 0.415 0.250
Ir 0.500 0.585 0.750
CELL_PARAMETERS angstrom
2.949 0.000 0.000
0.000 12.860 0.000
0.000 0.000 4.166
```

DFT formation energy, eV/atom: -0.4633
ρ, g cm⁻³: 11.53
D(E_F), states/eV per atom: 0.7532
Raw total energy, eV/f.u.: -23.16



MnAl2Ir3 | PBE | relaxed Values from VASP.

```
&SYSTEM
  ibrav = 0, nat = 6, ntyp = 3
/
ATOMIC_SPECIES
Mn 54.94 Mn.upf
Al 26.98 Al.upf
Ir 192.22 Ir.upf
ATOMIC_POSITIONS crystal
Mn 0.000 0.000 0.000
Al 0.000 0.000 0.332
Al 0.000 0.000 0.668
Ir 0.500 0.500 0.173
Ir 0.500 0.500 0.500
Ir 0.500 0.500 0.827
CELL_PARAMETERS angstrom
3.021 0.000 0.000
0.000 3.021 0.000
0.000 0.000 9.161
```

DFT formation energy, eV/atom: -0.6922
ρ, g cm⁻³: 13.61
D(E_F), states/eV per atom: 0.3492
Raw total energy, eV/f.u.: -47.39



Mn2AlIr2 | PBE | relaxed Values from VASP.

```
&SYSTEM
  ibrav = 0, nat = 10, ntyp = 3
/
ATOMIC_SPECIES
Mn 54.94 Mn.upf
Al 26.98 Al.upf
Ir 192.22 Ir.upf
ATOMIC_POSITIONS crystal
Mn 0.113 0.387 0.000
Mn 0.387 0.887 0.000
Mn 0.613 0.113 0.000
Mn 0.887 0.613 0.000
Al 0.000 0.000 0.000
Al 0.500 0.500 0.000
Ir 0.180 0.680 0.500
Ir 0.320 0.180 0.500
Ir 0.680 0.820 0.500
Ir 0.820 0.320 0.500
CELL_PARAMETERS angstrom
7.158 0.000 0.000
0.000 7.158 0.000
0.000 0.000 2.719
```

DFT formation energy, eV/atom: -0.0245
ρ, g cm⁻³: 12.43
D(E_F), states/eV per atom: 1.1888
Raw total energy, eV/f.u.: -39.93



MnAl2Ir | PBE | relaxed Values from VASP.

```
&SYSTEM
  ibrav = 0, nat = 8, ntyp = 3
/
ATOMIC_SPECIES
Mn 54.94 Mn.upf
Al 26.98 Al.upf
Ir 192.22 Ir.upf
ATOMIC_POSITIONS crystal
Mn 0.000 0.000 0.000
Mn 0.500 0.500 0.500
Al 0.000 0.000 0.299
Al 0.000 0.000 0.701
Al 0.500 0.500 0.201
Al 0.500 0.500 0.799
Ir 0.000 0.000 0.500
Ir 0.500 0.500 0.000
CELL_PARAMETERS angstrom
2.786 0.000 0.000
0.000 4.282 0.000
0.000 0.000 12.148
```

DFT formation energy, eV/atom: 0.1536
ρ, g cm⁻³: 6.90
D(E_F), states/eV per atom: 0.6300
Raw total energy, eV/f.u.: -24.90



MnAl2Ir | PBE | relaxed Values from VASP.

```
&SYSTEM
  ibrav = 0, nat = 8, ntyp = 3
/
ATOMIC_SPECIES
Mn 54.94 Mn.upf
Al 26.98 Al.upf
Ir 192.22 Ir.upf
ATOMIC_POSITIONS crystal
Mn 0.000 0.000 0.000
Mn 0.500 0.500 0.500
Al 0.000 0.000 0.500
Al 0.000 0.500 0.750
Al 0.500 0.000 0.250
Al 0.500 0.500 0.000
Ir 0.000 0.500 0.250
Ir 0.500 0.000 0.750
CELL_PARAMETERS angstrom
3.747 0.000 0.000
0.000 3.747 0.000
0.000 0.000 7.984
```

DFT formation energy, eV/atom: -0.5068
ρ, g cm⁻³: 8.92
D(E_F), states/eV per atom: 0.5488
Raw total energy, eV/f.u.: -27.54



MnAlIr | PBE | relaxed Values from VASP.

```
&SYSTEM
  ibrav = 0, nat = 6, ntyp = 3
/
ATOMIC_SPECIES
Mn 54.94 Mn.upf
Al 26.98 Al.upf
Ir 192.22 Ir.upf
ATOMIC_POSITIONS crystal
Mn 0.000 0.000 0.000
Mn 0.500 0.500 0.500
Al 0.000 0.000 0.674
Al 0.500 0.500 0.174
Ir 0.000 0.000 0.332
Ir 0.500 0.500 0.832
CELL_PARAMETERS angstrom
2.888 0.000 0.000
0.000 3.623 0.000
0.000 0.000 8.208
```

DFT formation energy, eV/atom: -0.3957
ρ, g cm⁻³: 10.60
D(E_F), states/eV per atom: 0.6425
Raw total energy, eV/f.u.: -22.96



MnAlIr2 | PBE | relaxed Values from VASP.

```
&SYSTEM
  ibrav = 0, nat = 4, ntyp = 3
/
ATOMIC_SPECIES
Mn 54.94 Mn.upf
Al 26.98 Al.upf
Ir 192.22 Ir.upf
ATOMIC_POSITIONS crystal
Mn 0.000 0.000 0.000
Al 0.500 0.500 0.000
Ir 0.000 0.500 0.500
Ir 0.500 0.000 0.500
CELL_PARAMETERS angstrom
4.271 0.000 0.000
0.000 4.271 0.000
0.000 0.000 3.046
```

DFT formation energy, eV/atom: -0.5788
ρ, g cm⁻³: 13.94
D(E_F), states/eV per atom: 0.4931
Raw total energy, eV/f.u.: -32.95



MnAl4Ir3 | PBE | relaxed Values from VASP.

```
&SYSTEM
  ibrav = 0, nat = 8, ntyp = 3
/
ATOMIC_SPECIES
Mn 54.94 Mn.upf
Al 26.98 Al.upf
Ir 192.22 Ir.upf
ATOMIC_POSITIONS crystal
Mn 0.000 0.000 0.000
Al 0.500 0.000 0.243
Al 0.500 0.000 0.757
Al 0.500 0.500 0.000
Al 0.500 0.500 0.500
Ir 0.000 0.000 0.500
Ir 0.000 0.500 0.249
Ir 0.000 0.500 0.751
CELL_PARAMETERS angstrom
2.971 0.000 0.000
0.000 4.254 0.000
0.000 0.000 8.513
```

DFT formation energy, eV/atom: -0.7847
ρ, g cm⁻³: 11.41
D(E_F), states/eV per atom: 0.2617
Raw total energy, eV/f.u.: -57.00



Mn4AlIr | PBE | relaxed Values from VASP.

```
&SYSTEM
  ibrav = 0, nat = 6, ntyp = 3
/
ATOMIC_SPECIES
Mn 54.94 Mn.upf
Al 26.98 Al.upf
Ir 192.22 Ir.upf
ATOMIC_POSITIONS crystal
Mn 0.123 0.123 0.123
Mn 0.123 0.123 0.630
Mn 0.123 0.630 0.123
Mn 0.630 0.123 0.123
Al 0.750 0.750 0.750
Ir 0.500 0.500 0.500
CELL_PARAMETERS angstrom
0.000 3.310 3.310
3.310 0.000 3.310
3.310 3.310 0.000
```

DFT formation energy, eV/atom: -0.0297
ρ, g cm⁻³: 10.05
D(E_F), states/eV per atom: 1.4597
Raw total energy, eV/f.u.: -49.46



MnAlIr | PBE | relaxed Values from VASP.

```
&SYSTEM
  ibrav = 0, nat = 12, ntyp = 3
/
ATOMIC_SPECIES
Mn 54.94 Mn.upf
Al 26.98 Al.upf
Ir 192.22 Ir.upf
ATOMIC_POSITIONS crystal
Mn 0.000 0.000 0.000
Mn 0.000 0.500 0.500
Mn 0.500 0.000 0.500
Mn 0.500 0.500 0.000
Al 0.000 0.000 0.500
Al 0.000 0.500 0.000
Al 0.500 0.000 0.000
Al 0.500 0.500 0.500
Ir 0.250 0.250 0.750
Ir 0.250 0.750 0.250
Ir 0.750 0.250 0.250
Ir 0.750 0.750 0.750
CELL_PARAMETERS angstrom
5.919 0.000 0.000
0.000 5.919 0.000
0.000 0.000 5.919
```

DFT formation energy, eV/atom: -0.1991
ρ, g cm⁻³: 8.78
D(E_F), states/eV per atom: 0.3308
Raw total energy, eV/f.u.: -22.37



MnAlIr2 | PBE | relaxed Values from VASP.

```
&SYSTEM
  ibrav = 0, nat = 8, ntyp = 3
/
ATOMIC_SPECIES
Mn 54.94 Mn.upf
Al 26.98 Al.upf
Ir 192.22 Ir.upf
ATOMIC_POSITIONS crystal
Mn 0.000 0.000 0.000
Mn 0.500 0.500 0.000
Al 0.000 0.000 0.500
Al 0.500 0.500 0.500
Ir 0.000 0.500 0.257
Ir 0.000 0.500 0.743
Ir 0.500 0.000 0.257
Ir 0.500 0.000 0.743
CELL_PARAMETERS angstrom
2.946 0.000 0.000
0.000 4.729 0.000
0.000 0.000 8.336
```

DFT formation energy, eV/atom: -0.2220
ρ, g cm⁻³: 13.34
D(E_F), states/eV per atom: 0.6011
Raw total energy, eV/f.u.: -31.52



Mn2AlIr | PBE | relaxed Values from VASP.

```
&SYSTEM
  ibrav = 0, nat = 16, ntyp = 3
/
ATOMIC_SPECIES
Mn 54.94 Mn.upf
Al 26.98 Al.upf
Ir 192.22 Ir.upf
ATOMIC_POSITIONS crystal
Mn 0.233 0.250 0.125
Mn 0.250 0.733 0.375
Mn 0.250 0.767 0.875
Mn 0.267 0.250 0.625
Mn 0.733 0.750 0.625
Mn 0.750 0.233 0.875
Mn 0.750 0.267 0.375
Mn 0.767 0.750 0.125
Al 0.000 0.000 0.500
Al 0.000 0.500 0.750
Al 0.500 0.000 0.250
Al 0.500 0.500 0.000
Ir 0.000 0.000 0.000
Ir 0.000 0.500 0.250
Ir 0.500 0.000 0.750
Ir 0.500 0.500 0.500
CELL_PARAMETERS angstrom
7.005 0.000 0.000
0.000 7.005 0.000
0.000 0.000 5.079
```

DFT formation energy, eV/atom: 0.2984
ρ, g cm⁻³: 8.77
D(E_F), states/eV per atom: 1.1788
Raw total energy, eV/f.u.: -29.75



Mn2AlIr2 | PBE | relaxed Values from VASP.

```
&SYSTEM
  ibrav = 0, nat = 10, ntyp = 3
/
ATOMIC_SPECIES
Mn 54.94 Mn.upf
Al 26.98 Al.upf
Ir 192.22 Ir.upf
ATOMIC_POSITIONS crystal
Mn 0.163 0.337 0.000
Mn 0.337 0.837 0.000
Mn 0.663 0.163 0.000
Mn 0.837 0.663 0.000
Al 0.000 0.000 0.500
Al 0.500 0.500 0.500
Ir 0.135 0.635 0.500
Ir 0.365 0.135 0.500
Ir 0.635 0.865 0.500
Ir 0.865 0.365 0.500
CELL_PARAMETERS angstrom
7.137 0.000 0.000
0.000 7.137 0.000
0.000 0.000 2.892
```

DFT formation energy, eV/atom: -0.0913
ρ, g cm⁻³: 11.75
D(E_F), states/eV per atom: 0.9653
Raw total energy, eV/f.u.: -40.26



MnAlIr2 | PBE | relaxed Values from VASP.

```
&SYSTEM
  ibrav = 0, nat = 8, ntyp = 3
/
ATOMIC_SPECIES
Mn 54.94 Mn.upf
Al 26.98 Al.upf
Ir 192.22 Ir.upf
ATOMIC_POSITIONS crystal
Mn 0.000 0.000 0.000
Mn 0.500 0.500 0.000
Al 0.253 0.500 0.380
Al 0.753 0.000 0.380
Ir 0.255 0.000 0.891
Ir 0.498 0.000 0.495
Ir 0.755 0.500 0.891
Ir 0.998 0.500 0.495
CELL_PARAMETERS angstrom
9.336 0.000 0.000
0.000 2.872 0.000
-1.482 0.000 4.182
```

DFT formation energy, eV/atom: -0.4450
ρ, g cm⁻³: 13.81
D(E_F), states/eV per atom: 0.8187
Raw total energy, eV/f.u.: -32.41



Mn3AlIr | PBE | relaxed Values from VASP.

```
&SYSTEM
  ibrav = 0, nat = 5, ntyp = 3
/
ATOMIC_SPECIES
Mn 54.94 Mn.upf
Al 26.98 Al.upf
Ir 192.22 Ir.upf
ATOMIC_POSITIONS crystal
Mn 0.000 0.000 0.500
Mn 0.000 0.500 0.000
Mn 0.500 0.000 0.000
Al 0.000 0.000 0.000
Ir 0.500 0.500 0.500
CELL_PARAMETERS angstrom
4.392 0.000 0.000
0.000 4.392 0.000
0.000 0.000 4.392
```

DFT formation energy, eV/atom: 1.2444
ρ, g cm⁻³: 7.53
D(E_F), states/eV per atom: 1.1977
Raw total energy, eV/f.u.: -33.89



Mn2AlIr | PBE | relaxed Values from VASP.

```
&SYSTEM
  ibrav = 0, nat = 4, ntyp = 3
/
ATOMIC_SPECIES
Mn 54.94 Mn.upf
Al 26.98 Al.upf
Ir 192.22 Ir.upf
ATOMIC_POSITIONS crystal
Mn 0.000 0.000 0.000
Mn 0.500 0.500 0.219
Al 0.000 0.000 0.473
Ir 0.500 0.500 0.727
CELL_PARAMETERS angstrom
2.956 0.000 0.000
0.000 2.956 0.000
0.000 0.000 5.918
```

DFT formation energy, eV/atom: -0.3631
ρ, g cm⁻³: 10.57
D(E_F), states/eV per atom: 0.3497
Raw total energy, eV/f.u.: -32.40